# La2MgAs

A relaxed La2MgAs crystal (PBE, Alexandria via LeMat-Bulk).

The structure in extended XYZ format:
```
8
Lattice="-2.5575 -8.0652 1.4865 2.2951 0.7910 8.2404 -3.2725 -2.4998 5.6292" Properties=species:S:1:pos:R:3 pbc="T T T"
La -2.5971 -8.2099 13.0447
As 0.0000 0.0000 0.0000
Mg -0.1312 -3.6371 4.8634
La -2.2264 -5.8719 3.4226
As -2.9806 -7.1011 5.9896
La 0.3934 -0.8336 6.6871
Mg -0.5543 -2.6730 9.3665
La -2.6396 -4.6326 7.5578
```

Properties
ρ = 5.0 g/cm3
density of states at the Fermi level = 1.403 states/eV per atom
space group = I-42d
energy relative to the lowest polymorph listed for this composition = 1.06 eV per formula unit
V = 31.62 Å³/atom
formation enthalpy at 0 K = -0.433 eV per atom



# Nd12Er5Pu

A relaxed Nd12Er5Pu crystal (PBE, Alexandria via LeMat-Bulk).

The structure in extended XYZ format:
```
18
Lattice="10.8405 -0.0009 -0.0052 5.4205 9.3597 -0.7607 0.0030 -1.5590 6.0670" Properties=species:S:1:pos:R:3 pbc="T T T"
Nd 14.4899 8.5790 2.2685
Nd 12.6292 5.4543 2.5201
Nd 9.0531 5.4548 2.5204
Er 10.8436 4.6753 5.5462
Er 5.4204 3.1245 -0.2451
Nd 9.0629 3.0952 -0.2529
Nd 7.2394 -1.5590 6.0633
Nd 12.6203 3.0953 -0.2548
Er 5.4218 -0.7799 3.0309
Er 5.4210 5.4734 2.5438
Nd 9.0246 9.3588 -0.7621
Nd 1.7741 -0.7792 3.0327
Er 10.8430 2.3264 2.7574
Nd 3.6348 2.3455 2.7810
Nd 7.2011 4.7046 5.5541
Nd 7.2109 2.3450 2.7808
Nd 3.6437 4.7045 5.5560
Pu 0.0000 0.0000 0.0000
```

Properties
ρ = 7.7 g/cm3
density of states at the Fermi level = 1.602 states/eV per atom
space group = C2/m
V = 33.49 Å³/atom
formation enthalpy at 0 K = 0.037 eV per atom



# YCuCl3

A relaxed YCuCl3 crystal (PBE, Alexandria via LeMat-Bulk).

The structure in extended XYZ format:
```
5
Lattice="5.2943 0.0000 0.0000 0.0000 5.2943 0.0000 0.0000 0.0000 5.2943" Properties=species:S:1:pos:R:3 pbc="T T T"
Cl 2.6472 0.0000 0.0000
Cl 0.0000 0.0000 2.6472
Y 0.0000 0.0000 0.0000
Cl 0.0000 2.6472 0.0000
Cu 2.6472 2.6472 2.6472
```

Properties
formation energy (no corrections) = -1.096 eV per atom
ρ = 2.9 g/cm3
density of states at the Fermi level = 0.367 states/eV per atom
space group = Pm-3m
energy relative to the lowest polymorph listed for this composition = 0.00 eV per formula unit
V = 29.68 Å³/atom



# Cs3LaAl2O6

A relaxed Cs3LaAl2O6 crystal (PBE, Alexandria via LeMat-Bulk).

The structure in extended XYZ format:
```
12
Lattice="-5.5191 -1.6550 -2.6260 3.0600 -4.0675 3.7666 -3.8200 2.8801 6.2135" Properties=species:S:1:pos:R:3 pbc="T T T"
O 0.3638 -2.7514 4.5566
O -5.2051 -2.0022 4.5673
Al -5.2967 -0.4708 3.7947
O -4.0497 0.6866 4.0314
Cs -3.5921 -1.7560 1.0220
O -6.6429 -0.0911 2.7975
Cs -2.6870 -1.0865 6.3322
La -1.9100 1.4400 3.1067
Al -0.9824 -2.3716 3.5595
O -1.0740 -0.8402 2.7868
O -2.2294 -3.5290 3.3228
Cs 0.0000 0.0000 0.0000
```

Properties
formation energy (no corrections) = -2.360 eV per atom
ρ = 4.2 g/cm3
density of states at the Fermi level = 0.000 states/eV per atom
space group = P-3m1
V = 22.69 Å³/atom



> The highest V belongs to which entry?

Nd12Er5Pu



> Which of these has the highest ρ?

Nd12Er5Pu